Here is Nd4GeO8 after structural relaxation from the Alexandria database. Energies are from PBEsol.

Computed properties:
calculated total energy	-8.281	eV/atom
formation energy without anion corrections	-3081	meV per atom
SG	No. 62
N(E_F)	0.00	states/eV/cell

a b c (Å): 5.7194 7.4391 17.9179
angles (deg): 90.00 90.00 90.00
Closest atoms and distances in Å follow each position.
Fractional positions:
O 0.9263 0.4402 0.7546  1 Ge 1.77
O 0.7212 0.7500 0.3741  4 Nd 2.25-2.43
O 0.3053 0.2500 0.8384  1 Ge 1.77
O 0.7582 0.9810 0.5061  4 Nd 2.31-2.43
O 0.8053 0.7500 0.6616  1 Ge 1.77
O 0.4263 0.5598 0.7454  1 Ge 1.77
O 0.5737 0.0598 0.2546  1 Ge 1.77
O 0.2212 0.2500 0.1259  4 Nd 2.25-2.43
O 0.6947 0.7500 0.1616  1 Ge 1.77
O 0.2285 0.7500 0.3840  4 Nd 2.25-2.33
O 0.2788 0.2500 0.6259  4 Nd 2.25-2.43
O 0.6942 0.2500 0.3834  1 Ge 1.79
O 0.2418 0.0190 0.4939  4 Nd 2.31-2.43
O 0.2418 0.4810 0.4939  4 Nd 2.31-2.43
O 0.0737 0.5598 0.2454  1 Ge 1.77
O 0.2582 0.0190 0.9939  4 Nd 2.31-2.43
O 0.7715 0.2500 0.6160  4 Nd 2.25-2.33
O 0.7285 0.2500 0.1160  4 Nd 2.25-2.33
O 0.3058 0.7500 0.6166  1 Ge 1.79
O 0.1947 0.2500 0.3384  1 Ge 1.77
O 0.7788 0.7500 0.8741  4 Nd 2.25-2.43
O 0.9263 0.0598 0.7546  1 Ge 1.77
O 0.8058 0.2500 0.8834  1 Ge 1.79
O 0.2582 0.4810 0.9939  4 Nd 2.31-2.43
O 0.5737 0.4402 0.2546  1 Ge 1.77
O 0.7418 0.5190 0.0061  4 Nd 2.31-2.43
O 0.1942 0.7500 0.1166  1 Ge 1.79
O 0.7582 0.5190 0.5061  4 Nd 2.31-2.43
O 0.0737 0.9402 0.2454  1 Ge 1.77
O 0.4263 0.9402 0.7454  1 Ge 1.77
O 0.7418 0.9810 0.0061  4 Nd 2.31-2.43
O 0.2715 0.7500 0.8840  4 Nd 2.25-2.33
Nd 0.9560 0.2500 0.2183  4 O 2.25-2.45
Nd 0.0229 0.4911 0.6029  6 O 2.31-2.53
Nd 0.9771 0.9911 0.3971  6 O 2.31-2.53
Nd 0.4560 0.7500 0.2817  4 O 2.25-2.45
Nd 0.0229 0.0089 0.6029  6 O 2.31-2.53
Nd 0.0191 0.7500 0.9857  7 O 2.33-2.55
Nd 0.4809 0.7500 0.4857  7 O 2.33-2.55
Nd 0.0440 0.7500 0.7817  4 O 2.25-2.45
Nd 0.5440 0.2500 0.7183  4 O 2.25-2.45
Nd 0.5229 0.9911 0.8971  6 O 2.31-2.53
Nd 0.5229 0.5089 0.8971  6 O 2.31-2.53
Nd 0.4771 0.0089 0.1029  6 O 2.31-2.53
Nd 0.9771 0.5089 0.3971  6 O 2.31-2.53
Nd 0.5191 0.2500 0.5143  7 O 2.33-2.55
Nd 0.4771 0.4911 0.1029  6 O 2.31-2.53
Nd 0.9809 0.2500 0.0143  7 O 2.33-2.55
Ge 0.5104 0.7500 0.6919  4 O 1.77-1.79
Ge 0.0104 0.2500 0.8081  4 O 1.77-1.79
Ge 0.4896 0.2500 0.3081  4 O 1.77-1.79
Ge 0.9896 0.7500 0.1919  4 O 1.77-1.79